1.
Below is Sc2Tc3Os after structural relaxation, with properties calculated at the GGA-PBE level.

Output
DFT formation energy = -0.133 eV/atom
Density = 10.154 Mg/m³

CIF file:
```
data_Sc2Tc3Os
_space_group_name_H-M_alt 'P 4 m m'
_space_group_IT_number 99
_space_group_name_Hall 'P 4 -2'
_cell_length_a 3.1770
_cell_length_b 3.1770
_cell_length_c 9.3024
_cell_angle_alpha 90.00
_cell_angle_beta 90.00
_cell_angle_gamma 90.00
loop_
_atom_site_label
_atom_site_type_symbol
_atom_site_fract_x
_atom_site_fract_y
_atom_site_fract_z
Sc1 Sc 0.0000 0.0000 0.0000
Sc2 Sc 0.5000 0.5000 0.4994
Tc1 Tc 0.0000 0.0000 0.3258
Tc2 Tc 0.5000 0.5000 0.1745
Tc3 Tc 0.5000 0.5000 0.8249
Os1 Os 0.0000 0.0000 0.6731
```

=====

2.
Below is ScTe2Os after structural relaxation, with properties calculated at the GGA-PBE level.

Output
Density = 9.509 Mg/m³

CIF file:
```
data_ScTe2Os
_space_group_name_H-M_alt 'F -4 3 m'
_space_group_IT_number 216
_space_group_name_Hall 'F -4 2 3'
_cell_length_a 6.9968
_cell_length_b 6.9968
_cell_length_c 6.9968
_cell_angle_alpha 90.00
_cell_angle_beta 90.00
_cell_angle_gamma 90.00
loop_
_atom_site_label
_atom_site_type_symbol
_atom_site_fract_x
_atom_site_fract_y
_atom_site_fract_z
Sc1 Sc 0.0000 0.0000 0.0000
Te1 Te 0.0000 0.0000 0.5000
Te2 Te 0.2500 0.2500 0.7500
Os1 Os 0.2500 0.2500 0.2500
```

=====

3.
Below is Zr3Sc3Te2Os after structural relaxation, with properties calculated at the GGA-PBE level.

Output
ΔE to the lowest computed polymorph = 1.41 kcal/mol of atoms
Density = 7.314 Mg/m³

CIF file:
```
data_Zr3Sc3Te2Os
_space_group_name_H-M_alt 'P -6 2 m'
_space_group_IT_number 189
_space_group_name_Hall 'P -6 -2'
_cell_length_a 7.7479
_cell_length_b 7.7479
_cell_length_c 3.7294
_cell_angle_alpha 90.00
_cell_angle_beta 90.00
_cell_angle_gamma 120.00
loop_
_atom_site_label
_atom_site_type_symbol
_atom_site_fract_x
_atom_site_fract_y
_atom_site_fract_z
Zr1 Zr 0.0000 0.6013 0.0000
Sc1 Sc 0.0000 0.2420 0.5000
Te1 Te 0.3333 0.6667 0.5000
Os1 Os 0.0000 0.0000 0.0000
```

=====

4.
Below is Zr3Sc3Te2Os after structural relaxation, with properties calculated at the GGA-PBE level.

Output
ΔE to the lowest computed polymorph = 0.00 kcal/mol of atoms
Density = 7.144 Mg/m³

CIF file:
```
data_Zr3Sc3Te2Os
_space_group_name_H-M_alt 'P -6 2 m'
_space_group_IT_number 189
_space_group_name_Hall 'P -6 -2'
_cell_length_a 7.8686
_cell_length_b 7.8686
_cell_length_c 3.7016
_cell_angle_alpha 90.00
_cell_angle_beta 90.00
_cell_angle_gamma 120.00
loop_
_atom_site_label
_atom_site_type_symbol
_atom_site_fract_x
_atom_site_fract_y
_atom_site_fract_z
Zr1 Zr 0.0000 0.2486 0.0000
Sc1 Sc 0.0000 0.6046 0.5000
Te1 Te 0.3333 0.6667 0.0000
Os1 Os 0.0000 0.0000 0.5000
```

=====

no.,energy (eV for the cell shown)
1,-55.76
2,-88.32
3,-67.47
4,-68.02